A geometry-optimized Sr4Ga2F structure, computed with PBE.

Lattice parameters (Å, degrees): 5.1753 5.1753 9.0572 106.60 106.60 90.00
Fractional coordinates of all 7 atoms:
Sr1 0.8128 0.8128 0.6255
Sr2 0.1872 0.1872 0.3745
Sr3 0.5000 0.0000 0.0000
Sr4 0.0000 0.5000 0.0000
F1 0.0000 0.0000 0.0000
Ga1 0.3792 0.3792 0.7584
Ga2 0.6208 0.6208 0.2416

Properties
Its uncorrected formation energy is -0.979 eV per atom. As for the space group: I4/mmm, No. 139.